# 1
A plane-wave DFT calculation with PBE was carried out for a geometry-optimized RuPt2Rh structure.

Results
**Calculated total energy**: -7.176 eV/atom
**D(E_F)**: 1.496 states/eV per atom
**DFT formation energy**: 0.0010 eV/atom
**Distance to the lowest polymorph of the same formula**: 39 meV/atom

a b c (Å): 2.760 2.760 7.775
angles (deg): 90.00 90.00 90.00
Positions (direct):
1 Rh 0.500 0.500 0.250
2 Ru 0.500 0.500 0.750
3 Pt 0.000 0.000 0.995
4 Pt 0.000 0.000 0.505

---

# 2
A plane-wave DFT calculation with PBE was carried out for a geometry-optimized WSe2I structure.

Results
**Raw formation energy**: -221 meV/atom
**Calculated total energy**: -5.589 eV/atom
**D(E_F)**: 0.276 states/eV per atom
**Distance to the lowest polymorph of the same formula**: 59 meV/atom

a b c (Å): 5.960 6.483 8.057
angles (deg): 112.22 94.61 91.58
Positions (direct):
1 I 0.261 0.675 0.925
2 I 0.739 0.325 0.075
3 Se 0.591 0.290 0.612
4 Se 0.409 0.710 0.388
5 Se 0.955 0.804 0.612
6 Se 0.045 0.196 0.388
7 W 0.282 0.508 0.565
8 W 0.718 0.492 0.435

---

# 3
A plane-wave DFT calculation with PBE was carried out for a geometry-optimized PuGeH structure.

Results
**Calculated total energy**: -7.541 eV/atom
**D(E_F)**: 2.108 states/eV per atom
**Distance to the lowest polymorph of the same formula**: 398 meV/atom

a b c (Å): 3.295 3.295 9.669
angles (deg): 99.81 99.81 90.00
Positions (direct):
1 Pu 0.893 0.893 0.786
2 Pu 0.107 0.107 0.214
3 Ge 0.716 0.716 0.433
4 Ge 0.284 0.284 0.567
5 H 0.568 0.568 0.135
6 H 0.432 0.432 0.865

---

Copy entry 3 word for word.
A plane-wave DFT calculation with PBE was carried out for a geometry-optimized PuGeH structure.

Results
**Calculated total energy**: -7.541 eV/atom
**D(E_F)**: 2.108 states/eV per atom
**Distance to the lowest polymorph of the same formula**: 398 meV/atom

a b c (Å): 3.295 3.295 9.669
angles (deg): 99.81 99.81 90.00
Positions (direct):
1 Pu 0.893 0.893 0.786
2 Pu 0.107 0.107 0.214
3 Ge 0.716 0.716 0.433
4 Ge 0.284 0.284 0.567
5 H 0.568 0.568 0.135
6 H 0.432 0.432 0.865

---

Please write out number 1 again, unchanged.
A plane-wave DFT calculation with PBE was carried out for a geometry-optimized RuPt2Rh structure.

Results
**Calculated total energy**: -7.176 eV/atom
**D(E_F)**: 1.496 states/eV per atom
**DFT formation energy**: 0.0010 eV/atom
**Distance to the lowest polymorph of the same formula**: 39 meV/atom

a b c (Å): 2.760 2.760 7.775
angles (deg): 90.00 90.00 90.00
Positions (direct):
1 Rh 0.500 0.500 0.250
2 Ru 0.500 0.500 0.750
3 Pt 0.000 0.000 0.995
4 Pt 0.000 0.000 0.505

---

> Which of these has the lowest distance to the lowest polymorph of the same formula?

RuPt2Rh